Density functional theory data (GGA-PBE) for a relaxed structure of LaY2Fe.

abc: 6.517 6.517 6.517
angles: 148.04 130.59 60.06
Element x y z (fractional)
1 La 0.000 0.000 0.000
2 Y 0.308 0.808 0.500
3 Y 0.692 0.192 0.500
4 Fe 0.500 0.500 0.000

Output
- VASP energy (eV per atom) = -6.421

***

Density functional theory data (GGA-PBE) for a relaxed structure of YTaIn2.

abc: 4.513 4.513 4.444
angles: 90.00 90.00 90.00
Element x y z (fractional)
1 Y 0.000 0.000 0.000
2 Ta 0.500 0.500 0.000
3 In 0.000 0.500 0.500
4 In 0.500 0.000 0.500

Output
- VASP energy (eV per atom) = -5.895

***

Density functional theory data (GGA-PBE) for a relaxed structure of LiDyTh2P4.

abc: 6.906 4.148 7.158
angles: 90.00 109.87 90.00
Element x y z (fractional)
1 Li 0.000 0.000 0.000
2 Dy 0.000 0.500 0.500
3 Th 0.500 0.000 0.500
4 Th 0.500 0.500 0.000
5 P 0.245 0.000 0.748
6 P 0.253 0.500 0.254
7 P 0.747 0.500 0.746
8 P 0.755 0.000 0.252

Output
- VASP energy (eV per atom) = -6.612

***

| no. | M_tot (μB/cell) | N(E_F) (states/eV/f.u.) | ΔE_f (eV/atom) |
| --- | --- | --- | --- |
| 1 | 0.657 | 6.565 | 0.159 |
| 2 | 0.000 | 3.583 | 0.053 |
| 3 | 0.000 | 2.424 | -1.237 |